GaBi2Pb4 | PBE-GGA | optimized geometry

Density of states at the Fermi level: 5.92 states/eV per cell
Crystal system: monoclinic
Final energy: -3.5775 eV/atom

Geometry as CIF:
```
data_GaBi2Pb4
_cell_length_a 7.391
_cell_length_b 6.776
_cell_length_c 9.707
_cell_angle_alpha 90.00
_cell_angle_beta 110.15
_cell_angle_gamma 90.00
_symmetry_space_group_name_H-M 'P 1'
_symmetry_Int_Tables_number 1
loop_
_symmetry_equiv_pos_as_xyz
'x,y,z'
loop_
_atom_site_label
_atom_site_fract_x
_atom_site_fract_y
_atom_site_fract_z
Ga1 0.138 0.250 0.163
Ga2 0.862 0.750 0.837
Bi1 0.229 0.750 0.426
Bi2 0.272 0.750 0.940
Bi3 0.728 0.250 0.060
Bi4 0.771 0.250 0.574
Pb1 0.135 0.250 0.467
Pb2 0.161 0.250 0.864
Pb3 0.491 0.000 0.740
Pb4 0.491 0.500 0.740
Pb5 0.509 0.000 0.260
Pb6 0.509 0.500 0.260
Pb7 0.839 0.750 0.136
Pb8 0.865 0.750 0.533
```